Record 1
The following is a DFT calculation (PBE) of a relaxed MoP2SeS crystal.

a = 4.807 Å, b = 4.807 Å, c = 4.464 Å
α = 90.00°, β = 90.00°, γ = 90.00°
Fractional coordinates of all 5 atoms:
Mo 0.000 0.000 0.000
P 0.000 0.500 0.000
P 0.500 0.000 0.000
Se 0.500 0.500 0.500
S 0.000 0.000 0.500

Calculated values
Magnetic moment in μB per atom: 0.0000
Formation energy without anion corrections in eV per atom: 0.473
N(E_F) in states/eV/atom: 0.65
Offset from the most stable computed form in eV/atom: 0.000
Density in g cm⁻³: 4.3

=====

Record 2
The following is a DFT calculation (PBE) of a relaxed CsRbNa2Au crystal.

a = 6.105 Å, b = 6.105 Å, c = 6.832 Å
α = 90.00°, β = 90.00°, γ = 90.00°
Fractional coordinates of all 5 atoms:
Cs 0.000 0.000 0.000
Rb 0.500 0.500 0.000
Na 0.000 0.500 0.500
Na 0.500 0.000 0.500
Au 0.000 0.000 0.500

Calculated values
Magnetic moment in μB per atom: 0.0000
N(E_F) in states/eV/atom: 0.47
Offset from the most stable computed form in eV/atom: 0.004
DFT formation energy in eV/atom: -0.075
Density in g cm⁻³: 3.0

=====

Record 3
The following is a DFT calculation (PBE) of a relaxed Pm4Sm2Y2Tm crystal.

a = 8.090 Å, b = 8.090 Å, c = 8.058 Å
α = 107.56°, β = 107.56°, γ = 36.83°
Fractional coordinates of all 9 atoms:
Pm 0.055 0.055 0.332
Pm 0.278 0.278 0.667
Pm 0.722 0.722 0.333
Pm 0.945 0.945 0.668
Sm 0.389 0.389 0.332
Sm 0.611 0.611 0.668
Y 0.166 0.166 0.000
Y 0.834 0.834 0.000
Tm 0.500 0.500 0.000

Calculated values
Magnetic moment in μB per atom: 0.0000
N(E_F) in states/eV/atom: 1.57
DFT formation energy in eV/atom: 0.019
Density in g cm⁻³: 6.8

=====

What is the N(E_F) in the first record? 0.65 states/eV/atom

=====

What is the N(E_F) in the second record? 0.47 states/eV/atom

=====

What is the magnetic moment in the second record? 0.0000 μB per atom